Below is an optimized crystal structure of Gd3ZnN, with properties calculated at the GGA-PBE level.

Results
DOS(E_F), states/eV/f.u.: 4.29
E_form (uncorrected), eV per atom: -0.740
Final energy, eV per atom: -11.1080

Cell lengths 4.8406, 4.8406, 4.8406 Å; angles 90.00, 90.00, 90.00 degrees
With the nearest neighbours (Å) after each atom.
Space group Pm-3m (No. 221)
Symmetry-distinct sites (fractional):
1 Gd 0.0000 0.0000 0.5000 [3 per cell]  2 N 2.42
2 Zn 0.5000 0.5000 0.5000 [1 per cell]  12 Gd 3.42
3 N 0.0000 0.0000 0.0000 [1 per cell]  6 Gd 2.42